# CsNbGe3 | the Alexandria database | GGA-PBEsol | relaxed
data_CsNbGe3
_chemical_formula_sum 'Cs1 Nb1 Ge3'
_symmetry_space_group_name_H-M 'P m -3 m'
_symmetry_Int_Tables_number 221
_symmetry_space_group_name_Hall '-P 4 2 3'
_cell_length_a 5.086
_cell_length_b 5.086
_cell_length_c 5.086
_cell_angle_alpha 90.00
_cell_angle_beta 90.00
_cell_angle_gamma 90.00
loop_
_atom_site_label
_atom_site_fract_x
_atom_site_fract_y
_atom_site_fract_z
Cs1 0.000 0.000 0.000
Nb1 0.500 0.500 0.500
Ge1 0.000 0.500 0.500
# **Energy of formation**: 0.20 eV per formula unit
# **Electronic total energy**: -5.276 eV per atom